Entry 1:
Density functional theory data (GGA+U) for a geometry-optimized Tb2VO5 structure.

Lattice parameters (Å, degrees): 6.820 7.119 9.326 90.00 95.43 90.00
Last column: magnetic moment on the atom in μB.
Element x y z (fractional)
Tb1 0.731 0.881 0.029  0.01
Tb2 0.231 0.619 0.029  0.01
Tb3 0.459 0.853 0.348  0.00
Tb4 0.959 0.647 0.348  0.00
Tb5 0.041 0.353 0.652  0.00
Tb6 0.541 0.147 0.652  0.00
Tb7 0.769 0.381 0.971  0.01
Tb8 0.269 0.119 0.971  0.01
V1 0.460 0.398 0.307  0.98
V2 0.960 0.102 0.307  0.98
V3 0.040 0.898 0.693  0.98
V4 0.540 0.602 0.693  0.98
O1 0.954 0.142 0.109  0.00
O2 0.911 0.619 0.104  0.00
O3 0.454 0.358 0.109  0.00
O4 0.411 0.881 0.104  0.00
O5 0.766 0.916 0.278  -0.01
O6 0.986 0.325 0.399  -0.03
O7 0.266 0.584 0.278  -0.01
O8 0.640 0.568 0.375  -0.01
O9 0.486 0.175 0.399  -0.03
O10 0.140 0.932 0.375  -0.01
O11 0.860 0.068 0.625  -0.01
O12 0.514 0.825 0.601  -0.03
O13 0.360 0.432 0.625  -0.01
O14 0.734 0.416 0.722  -0.01
O15 0.014 0.675 0.601  -0.03
O16 0.234 0.084 0.722  -0.01
O17 0.589 0.119 0.896  0.00
O18 0.546 0.642 0.891  0.00
O19 0.089 0.381 0.896  0.00
O20 0.046 0.858 0.891  0.00

The value obtained for the mass density is 6.6 Mg/m³. For the density of states at the Fermi level, the calculation gives 0.00 states/eV/f.u. For the total energy, the calculation gives -8.191 eV/atom. As for the space group: No. 14.


Entry 2:
Density functional theory data (GGA+U) for a geometry-optimized Tb2VO6 structure.

Lattice parameters (Å, degrees): 5.349 5.985 7.355 90.00 97.20 90.00
Last column: magnetic moment on the atom in μB.
Element x y z (fractional)
Tb1 0.957 0.402 0.757  -0.01
Tb2 0.543 0.902 0.743  -0.01
Tb3 0.457 0.098 0.257  -0.01
Tb4 0.043 0.598 0.243  -0.01
V1 0.500 0.500 0.000  -0.11
V2 0.000 0.000 0.500  -0.11
O1 0.849 0.942 0.264  0.19
O2 0.860 0.726 0.577  0.26
O3 0.792 0.654 0.947  0.04
O4 0.708 0.154 0.553  0.04
O5 0.640 0.226 0.923  0.26
O6 0.651 0.442 0.236  0.19
O7 0.151 0.058 0.736  0.19
O8 0.140 0.274 0.423  0.26
O9 0.208 0.346 0.053  0.04
O10 0.292 0.846 0.447  0.04
O11 0.360 0.774 0.077  0.26
O12 0.349 0.558 0.764  0.19

The value obtained for the mass density is 6.6 Mg/m³. For the density of states at the Fermi level, the calculation gives 3.09 states/eV/f.u. For the total energy, the calculation gives -7.778 eV/atom. As for the space group: No. 14.


Entry 3:
Density functional theory data (GGA+U) for a geometry-optimized Tb2V2O7 structure.

Lattice parameters (Å, degrees): 7.174 7.174 7.174 60.00 60.00 60.00
Last column: magnetic moment on the atom in μB.
Element x y z (fractional)
Tb1 0.625 0.625 0.625  0.01
Tb2 0.625 0.625 0.125  0.01
Tb3 0.625 0.125 0.625  0.01
Tb4 0.125 0.625 0.625  0.01
V1 0.625 0.125 0.125  1.05
V2 0.125 0.625 0.125  1.05
V3 0.125 0.125 0.625  1.05
V4 0.125 0.125 0.125  1.05
O1 0.206 0.206 0.794  -0.03
O2 0.206 0.794 0.206  -0.03
O3 0.456 0.044 0.456  -0.03
O4 0.456 0.456 0.044  -0.03
O5 0.750 0.750 0.750  0.00
O6 0.794 0.206 0.206  -0.03
O7 0.456 0.044 0.044  -0.03
O8 0.044 0.456 0.456  -0.03
O9 0.044 0.044 0.456  -0.03
O10 0.044 0.456 0.044  -0.03
O11 0.206 0.794 0.794  -0.03
O12 0.500 0.500 0.500  0.00
O13 0.794 0.206 0.794  -0.03
O14 0.794 0.794 0.206  -0.03

The value obtained for the mass density is 6.8 Mg/m³. For the total energy, the calculation gives -8.129 eV/atom. As for the space group: No. 227.


Entry 4:
Density functional theory data (GGA+U) for a geometry-optimized TbVO4 structure.

Lattice parameters (Å, degrees): 6.031 6.031 6.031 106.20 106.20 116.24
Element x y z (fractional)
Tb1 0.000 0.000 0.000
Tb2 0.250 0.750 0.500
V1 0.750 0.250 0.500
V2 0.500 0.500 0.000
O1 0.325 0.509 0.184
O2 0.390 0.075 0.316
O3 0.759 0.075 0.684
O4 0.325 0.140 0.816
O5 0.860 0.675 0.184
O6 0.925 0.241 0.316
O7 0.925 0.610 0.684
O8 0.491 0.675 0.816

The value obtained for the mass density is 5.4 Mg/m³. For the density of states at the Fermi level, the calculation gives 0.00 states/eV/f.u. For the total energy, the calculation gives -8.063 eV/atom. As for the space group: No. 141.